Record 1
The following is a GGA-PBE calculation of an optimized crystal structure of Ca4Ac2Tl3H2, from Alexandria.

a b c (Å): 5.031 5.031 13.122
angles (deg): 101.05 101.05 90.00
Sites, in units of the cell vectors:
Ca (0.579, 0.079, 0.158)
Tl (0.000, 0.000, 0.000)
Ac (0.700, 0.700, 0.401)
Tl (0.834, 0.834, 0.668)
Tl (0.166, 0.166, 0.332)
Ca (0.421, 0.921, 0.842)
H (0.403, 0.403, 0.805)
Ac (0.300, 0.300, 0.599)
Ca (0.079, 0.579, 0.158)
H (0.597, 0.597, 0.195)
Ca (0.921, 0.421, 0.842)

Computed properties:
**Total DFT energy (no corrections)**: -0.1138 Ha/atom
**SG**: I4/mmm (139)

---

Record 2
The following is a GGA-PBE calculation of an optimized crystal structure of PmThGa4, from Alexandria.

a b c (Å): 5.645 5.645 5.645
angles (deg): 60.00 60.00 60.00
Sites, in units of the cell vectors:
Ga (0.625, 0.124, 0.625)
Ga (0.124, 0.625, 0.625)
Th (0.000, 0.000, 0.000)
Ga (0.625, 0.625, 0.124)
Pm (0.250, 0.250, 0.250)
Ga (0.625, 0.625, 0.625)

Computed properties:
**Energy of formation from the pure elements**: -0.494 eV/atom
**SG**: F-43m (216)
**Relative energy among the computed polymorphs**: 171 meV/atom

---

Record 3
The following is a GGA-PBE calculation of an optimized crystal structure of FeAuCl5, from Alexandria.

a b c (Å): 7.312 7.309 9.758
angles (deg): 109.21 109.19 101.80
Last column: magnetic moment on the atom in μB.
Sites, in units of the cell vectors:
Fe (0.919, 0.581, 0.250)  3.68
Cl (0.271, 0.652, 0.348)  0.11
Cl (0.172, 0.302, 0.559)  0.25
Fe (0.081, 0.419, 0.750)  3.68
Cl (0.828, 0.698, 0.441)  0.25
Cl (0.848, 0.229, 0.153)  0.11
Cl (0.802, 0.672, 0.059)  0.25
Cl (0.152, 0.771, 0.847)  0.11
Cl (0.198, 0.328, 0.941)  0.25
Cl (0.539, 0.962, 0.750)  -0.01
Au (0.500, 0.000, 0.000)  -0.01
Cl (0.461, 0.038, 0.250)  -0.01
Cl (0.729, 0.348, 0.652)  0.11
Au (0.500, 0.000, 0.500)  -0.01

Computed properties:
**Uncorrected formation energy**: -0.51 eV per atom
**SG**: C2/c (15)

---

Record 4
The following is a GGA-PBE calculation of an optimized crystal structure of ScTiCoRh, from Alexandria.

a b c (Å): 4.405 4.405 4.405
angles (deg): 60.00 60.00 60.00
Last column: magnetic moment on the atom in μB.
Sites, in units of the cell vectors:
Ti (0.250, 0.250, 0.250)  -0.07
Sc (0.750, 0.750, 0.750)  -0.05
Co (0.000, 0.000, 0.000)  0.61
Rh (0.500, 0.500, 0.500)  0.09

Computed properties:
**Energy of formation from the pure elements**: -0.587 eV/atom
**SG**: F-43m (216)
**Relative energy among the computed polymorphs**: 52 meV/atom

---

| no. | Fermi-level density of states (states/eV/cell) |
| --- | --- |
| 1 | 6.73 |
| 2 | 4.88 |
| 3 | 1.90 |
| 4 | 3.88 |